Entry 1:
The following is a PBE calculation of BaCrSe2 after structural relaxation, from Alexandria via LeMat-Bulk.

Its uncorrected formation energy is -0.818 eV per atom. The density of states at the Fermi level comes out at 0.50 states/eV per atom.

Cell and atoms, written as CIF:
```
data_BaCrSe2
_chemical_formula_sum 'Ba2 Cr2 Se4'
_space_group_name_H-M_alt 'I m m 2'
_space_group_IT_number 44
_space_group_name_Hall 'I 2 -2'
_cell_length_a 3.769
_cell_length_b 4.006
_cell_length_c 14.269
_cell_angle_alpha 90.00
_cell_angle_beta 90.00
_cell_angle_gamma 90.00
loop_
_atom_site_label
_atom_site_type_symbol
_atom_site_fract_x
_atom_site_fract_y
_atom_site_fract_z
Ba1 Ba 0.000 0.000 0.000
Cr1 Cr 0.000 0.500 0.751
Se1 Se 0.000 0.000 0.384
Se2 Se 0.000 0.500 0.184
```

---

Entry 2:
The following is a PBE calculation of BaCr3Se after structural relaxation, from Alexandria via LeMat-Bulk.

Its uncorrected formation energy is 0.694 eV per atom. The density of states at the Fermi level comes out at 0.85 states/eV per atom.

Cell and atoms, written as CIF:
```
data_BaCr3Se
_chemical_formula_sum 'Ba1 Cr3 Se1'
_space_group_name_H-M_alt 'P m -3 m'
_space_group_IT_number 221
_space_group_name_Hall '-P 4 2 3'
_cell_length_a 5.085
_cell_length_b 5.085
_cell_length_c 5.085
_cell_angle_alpha 90.00
_cell_angle_beta 90.00
_cell_angle_gamma 90.00
loop_
_atom_site_label
_atom_site_type_symbol
_atom_site_fract_x
_atom_site_fract_y
_atom_site_fract_z
Ba1 Ba 0.000 0.000 0.000
Cr1 Cr 0.000 0.500 0.500
Se1 Se 0.500 0.500 0.500
```

---

Entry 3:
The following is a PBE calculation of BaTa2CrSe8 after structural relaxation, from Alexandria via LeMat-Bulk.

Its uncorrected formation energy is -0.678 eV per atom. The density of states at the Fermi level comes out at 0.67 states/eV per atom.

Cell and atoms, written as CIF:
```
data_BaTa2CrSe8
_chemical_formula_sum 'Ba3 Ta6 Cr3 Se24'
_space_group_name_H-M_alt 'R -3'
_space_group_IT_number 148
_space_group_name_Hall '-R 3'
_cell_length_a 6.5531
_cell_length_b 6.5531
_cell_length_c 26.7600
_cell_angle_alpha 90.00
_cell_angle_beta 90.00
_cell_angle_gamma 120.00
loop_
_atom_site_label
_atom_site_type_symbol
_atom_site_fract_x
_atom_site_fract_y
_atom_site_fract_z
Ba1 Ba 0.0000 0.0000 0.0000
Ta1 Ta 0.0000 0.0000 0.2433
Cr1 Cr 0.0000 0.0000 0.5000
Se1 Se 0.0000 0.0000 0.3319
Se2 Se 0.0054 0.3645 0.2219
```

---

Entry 4:
The following is a PBE calculation of Ba2ThCrSe6 after structural relaxation, from Alexandria via LeMat-Bulk.

Its uncorrected formation energy is -1.397 eV per atom. The density of states at the Fermi level comes out at 1.24 states/eV per atom.

Cell and atoms, written as CIF:
```
data_Ba2ThCrSe6
_chemical_formula_sum 'Ba4 Th2 Cr2 Se12'
_space_group_name_H-M_alt 'P 1 21/c 1'
_space_group_IT_number 14
_space_group_name_Hall '-P 2ybc'
_cell_length_a 7.360
_cell_length_b 7.582
_cell_length_c 12.772
_cell_angle_alpha 90.00
_cell_angle_beta 124.24
_cell_angle_gamma 90.00
loop_
_atom_site_label
_atom_site_type_symbol
_atom_site_fract_x
_atom_site_fract_y
_atom_site_fract_z
Ba1 Ba 0.228 0.060 0.248
Th1 Th 0.500 0.000 0.000
Cr1 Cr 0.000 0.000 0.500
Se1 Se 0.157 0.223 0.966
Se2 Se 0.246 0.693 0.968
Se3 Se 0.297 0.002 0.733
```

---

Entry 5:
The following is a PBE calculation of BaTl2CrSe after structural relaxation, from Alexandria via LeMat-Bulk.

Its uncorrected formation energy is 0.734 eV per atom. The density of states at the Fermi level comes out at 0.64 states/eV per atom.

Cell and atoms, written as CIF:
```
data_BaTl2CrSe
_chemical_formula_sum 'Ba1 Tl2 Cr1 Se1'
_space_group_name_H-M_alt 'P 4/m m m'
_space_group_IT_number 123
_space_group_name_Hall '-P 4 2'
_cell_length_a 6.684
_cell_length_b 6.684
_cell_length_c 5.942
_cell_angle_alpha 90.00
_cell_angle_beta 90.00
_cell_angle_gamma 90.00
loop_
_atom_site_label
_atom_site_type_symbol
_atom_site_fract_x
_atom_site_fract_y
_atom_site_fract_z
Ba1 Ba 0.000 0.000 0.000
Tl1 Tl 0.000 0.500 0.000
Cr1 Cr 0.500 0.500 0.500
Se1 Se 0.000 0.000 0.500
```

---

Entry 6:
The following is a PBE calculation of BaTl2CrSe after structural relaxation, from Alexandria via LeMat-Bulk.

Its uncorrected formation energy is 1.163 eV per atom. The density of states at the Fermi level comes out at 1.13 states/eV per atom.

Cell and atoms, written as CIF:
```
data_BaTl2CrSe
_chemical_formula_sum 'Ba1 Tl2 Cr1 Se1'
_space_group_name_H-M_alt 'P 4/m m m'
_space_group_IT_number 123
_space_group_name_Hall '-P 4 2'
_cell_length_a 6.484
_cell_length_b 6.484
_cell_length_c 5.783
_cell_angle_alpha 90.00
_cell_angle_beta 90.00
_cell_angle_gamma 90.00
loop_
_atom_site_label
_atom_site_type_symbol
_atom_site_fract_x
_atom_site_fract_y
_atom_site_fract_z
Ba1 Ba 0.000 0.000 0.000
Tl1 Tl 0.000 0.500 0.000
Cr1 Cr 0.000 0.000 0.500
Se1 Se 0.500 0.500 0.500
```

---

Entry 7:
The following is a PBE calculation of Ba2UCrSe6 after structural relaxation, from Alexandria via LeMat-Bulk.

Its uncorrected formation energy is -1.338 eV per atom. The density of states at the Fermi level comes out at 0.34 states/eV per atom.

Cell and atoms, written as CIF:
```
data_Ba2UCrSe6
_chemical_formula_sum 'Ba4 U2 Cr2 Se12'
_space_group_name_H-M_alt 'P 1 21/c 1'
_space_group_IT_number 14
_space_group_name_Hall '-P 2ybc'
_cell_length_a 7.317
_cell_length_b 7.387
_cell_length_c 12.689
_cell_angle_alpha 90.00
_cell_angle_beta 124.96
_cell_angle_gamma 90.00
loop_
_atom_site_label
_atom_site_type_symbol
_atom_site_fract_x
_atom_site_fract_y
_atom_site_fract_z
Ba1 Ba 0.236 0.050 0.248
U1 U 0.500 0.000 0.000
Cr1 Cr 0.000 0.000 0.500
Se1 Se 0.171 0.221 0.968
Se2 Se 0.247 0.703 0.968
Se3 Se 0.302 0.000 0.741
```

---

Entry 8:
The following is a PBE calculation of BaVCrSe2 after structural relaxation, from Alexandria via LeMat-Bulk.

Its uncorrected formation energy is -0.169 eV per atom. The density of states at the Fermi level comes out at 1.36 states/eV per atom.

Cell and atoms, written as CIF:
```
data_BaVCrSe2
_chemical_formula_sum 'Ba1 V1 Cr1 Se2'
_space_group_name_H-M_alt 'P 4/m m m'
_space_group_IT_number 123
_space_group_name_Hall '-P 4 2'
_cell_length_a 5.115
_cell_length_b 5.115
_cell_length_c 4.395
_cell_angle_alpha 90.00
_cell_angle_beta 90.00
_cell_angle_gamma 90.00
loop_
_atom_site_label
_atom_site_type_symbol
_atom_site_fract_x
_atom_site_fract_y
_atom_site_fract_z
Ba1 Ba 0.000 0.000 0.000
V1 V 0.500 0.500 0.000
Cr1 Cr 0.500 0.500 0.500
Se1 Se 0.000 0.500 0.500
```

---

Entry 9:
The following is a PBE calculation of BaCr2Si after structural relaxation, from Alexandria via LeMat-Bulk.

Its uncorrected formation energy is 0.643 eV per atom. The density of states at the Fermi level comes out at 1.00 states/eV per atom.

Cell and atoms, written as CIF:
```
data_BaCr2Si
_chemical_formula_sum 'Ba4 Cr8 Si4'
_space_group_name_H-M_alt 'I 41/a m d'
_space_group_IT_number 141
_cell_length_a 4.876
_cell_length_b 4.876
_cell_length_c 17.209
_cell_angle_alpha 90.00
_cell_angle_beta 90.00
_cell_angle_gamma 90.00
loop_
_space_group_symop_operation_xyz
'x,y,z'
'-x,-y,-z'
'-y+1/4,x+3/4,z+1/4'
'y+1/4,-x+3/4,-z+1/4'
'-x+1/2,-y,z+1/2'
'x+1/2,y,-z+1/2'
'y+1/4,-x+1/4,z+3/4'
'-y+1/4,x+1/4,-z+3/4'
'x,-y,-z'
'-x,y,z'
'-y+1/4,-x+1/4,-z+3/4'
'y+1/4,x+1/4,z+3/4'
'-x+1/2,y,-z+1/2'
'x+1/2,-y,z+1/2'
'y+1/4,x+3/4,-z+1/4'
'-y+1/4,-x+3/4,z+1/4'
'x+1/2,y+1/2,z+1/2'
'-x+1/2,-y+1/2,-z+1/2'
'-y+3/4,x+1/4,z+3/4'
'y+3/4,-x+1/4,-z+3/4'
'-x,-y+1/2,z'
'x,y+1/2,-z'
'y+3/4,-x+3/4,z+1/4'
'-y+3/4,x+3/4,-z+1/4'
'x+1/2,-y+1/2,-z+1/2'
'-x+1/2,y+1/2,z+1/2'
'-y+3/4,-x+3/4,-z+1/4'
'y+3/4,x+3/4,z+1/4'
'-x,y+1/2,-z'
'x,-y+1/2,z'
'y+3/4,x+1/4,-z+3/4'
'-y+3/4,-x+1/4,z+3/4'
loop_
_atom_site_label
_atom_site_type_symbol
_atom_site_fract_x
_atom_site_fract_y
_atom_site_fract_z
Ba1 Ba 0.000 0.250 0.375
Cr1 Cr 0.000 0.000 0.000
Si1 Si 0.000 0.250 0.875
```

---

Entry 10:
The following is a PBE calculation of BaCr2Si after structural relaxation, from Alexandria via LeMat-Bulk.

Its uncorrected formation energy is 0.332 eV per atom. The density of states at the Fermi level comes out at 1.00 states/eV per atom.

Cell and atoms, written as CIF:
```
data_BaCr2Si
_chemical_formula_sum 'Ba1 Cr2 Si1'
_space_group_name_H-M_alt 'P 1 m 1'
_space_group_IT_number 6
_space_group_name_Hall 'P -2y'
_cell_length_a 3.330
_cell_length_b 3.977
_cell_length_c 6.938
_cell_angle_alpha 90.00
_cell_angle_beta 99.44
_cell_angle_gamma 90.00
loop_
_atom_site_label
_atom_site_type_symbol
_atom_site_fract_x
_atom_site_fract_y
_atom_site_fract_z
Ba1 Ba 0.000 0.000 0.000
Cr1 Cr 0.336 0.000 0.491
Cr2 Cr 0.808 0.500 0.441
Si1 Si 0.401 0.500 0.712
```

---

Entry 11:
The following is a PBE calculation of Ba4CrSi after structural relaxation, from Alexandria via LeMat-Bulk.

Its uncorrected formation energy is 0.890 eV per atom. The density of states at the Fermi level comes out at 0.98 states/eV per atom.

Cell and atoms, written as CIF:
```
data_Ba4CrSi
_chemical_formula_sum 'Ba16 Cr4 Si4'
_space_group_name_H-M_alt 'F -4 3 m'
_space_group_IT_number 216
_space_group_name_Hall 'F -4 2 3'
_cell_length_a 10.004
_cell_length_b 10.004
_cell_length_c 10.004
_cell_angle_alpha 90.00
_cell_angle_beta 90.00
_cell_angle_gamma 90.00
loop_
_atom_site_label
_atom_site_type_symbol
_atom_site_fract_x
_atom_site_fract_y
_atom_site_fract_z
Ba1 Ba 0.124 0.124 0.376
Cr1 Cr 0.000 0.000 0.000
Si1 Si 0.250 0.250 0.750
```

---

Entry 12:
The following is a PBE calculation of BaCrSi3 after structural relaxation, from Alexandria via LeMat-Bulk.

Its uncorrected formation energy is -0.066 eV per atom. The density of states at the Fermi level comes out at 0.70 states/eV per atom.

Cell and atoms, written as CIF:
```
data_BaCrSi3
_chemical_formula_sum 'Ba1 Cr1 Si3'
_space_group_name_H-M_alt 'P m -3 m'
_space_group_IT_number 221
_space_group_name_Hall '-P 4 2 3'
_cell_length_a 4.636
_cell_length_b 4.636
_cell_length_c 4.636
_cell_angle_alpha 90.00
_cell_angle_beta 90.00
_cell_angle_gamma 90.00
loop_
_atom_site_label
_atom_site_type_symbol
_atom_site_fract_x
_atom_site_fract_y
_atom_site_fract_z
Ba1 Ba 0.000 0.000 0.000
Cr1 Cr 0.500 0.500 0.500
Si1 Si 0.000 0.500 0.500
```